# 1
## Be2AlO4 (PBE)

Data for a relaxed Be2AlO4 crystal.

```
data_Be2AlO4
_symmetry_space_group_name_H-M 'P 1'
_symmetry_Int_Tables_number 1
_cell_length_a 3.8194
_cell_length_b 3.8194
_cell_length_c 4.3579
_cell_angle_alpha 90.00
_cell_angle_beta 90.00
_cell_angle_gamma 90.00
loop_
_symmetry_equiv_pos_as_xyz
'x,y,z'
loop_
_atom_site_label
_atom_site_type_symbol
_atom_site_fract_x
_atom_site_fract_y
_atom_site_fract_z
Be1 Be 0.5000 0.0000 0.5000
Be2 Be 0.0000 0.5000 0.5000
Al1 Al 0.0000 0.0000 0.0000
O1 O 0.7595 0.2405 0.7177
O2 O 0.2405 0.2405 0.2823
O3 O 0.2405 0.7595 0.7177
O4 O 0.7595 0.7595 0.2823
```

Output
DFT total energy   -47.631 eV per formula unit
Formation energy without anion corrections   -2372 meV/atom
Magnetization   1.01 μB/f.u.
Space-group type   No. 111
Crystal system   tetragonal

---

# 2
## Ba2TcAs (PBE)

Data for a relaxed Ba2TcAs crystal.

```
data_Ba2TcAs
_symmetry_space_group_name_H-M 'P 1'
_symmetry_Int_Tables_number 1
_cell_length_a 4.3918
_cell_length_b 4.9838
_cell_length_c 6.4110
_cell_angle_alpha 67.14
_cell_angle_beta 90.00
_cell_angle_gamma 90.00
loop_
_symmetry_equiv_pos_as_xyz
'x,y,z'
loop_
_atom_site_label
_atom_site_type_symbol
_atom_site_fract_x
_atom_site_fract_y
_atom_site_fract_z
As1 As 0.5000 0.5759 0.7233
Ba1 Ba 0.0000 0.9855 0.9038
Ba2 Ba 0.5000 0.2704 0.3344
Tc1 Tc 0.0000 0.6682 0.5384
```

Output
DFT total energy   -19.451 eV per formula unit
DFT formation energy   -0.147 eV per atom
Magnetization   0.00 μB/f.u.
Space-group type   No. 38
Crystal system   orthorhombic

---

Question: The lowest magnetization belongs to which entry?
Answer: Ba2TcAs

---

Question: The highest DFT total energy belongs to which entry?
Answer: Ba2TcAs